SmHo2Pd after structural relaxation, computed with PBE.

Cell lengths 3.572, 3.572, 8.498 Å; angles 90.00, 90.00, 90.00 degrees
Positions (direct):
Pd 0.500 0.500 0.000
Ho 0.000 0.000 0.805
Ho 0.000 0.000 0.195
Sm 0.500 0.500 0.500

## Properties
space group: P4/mmm (123)
formation energy: -0.422 eV/atom
total magnetization: 0.0 μB/f.u.
excess energy over the best structure of this formula in the dataset: 0.044 eV per atom

=====

SmHo2Pd3 after structural relaxation, computed with PBE.

Cell lengths 3.441, 5.026, 15.140 Å; angles 90.00, 90.00, 90.00 degrees
Positions (direct):
Pd 0.499 0.000 0.173
Pd 0.502 0.000 0.500
Pd 0.499 0.000 0.827
Pd 0.498 0.500 0.000
Pd 0.501 0.500 0.327
Pd 0.501 0.500 0.673
Ho 0.001 0.000 0.333
Ho 0.001 0.000 0.667
Ho 0.999 0.500 0.167
Ho 0.999 0.500 0.833
Sm 0.998 0.000 0.000
Sm 0.002 0.500 0.500

## Properties
space group: Pmmn (59)
formation energy: -0.866 eV/atom
total magnetization: 0.0 μB/f.u.

=====

SmHo3Pd after structural relaxation, computed with PBE.

Cell lengths 5.446, 5.446, 5.446 Å; angles 90.00, 90.00, 90.00 degrees
Positions (direct):
Sm 0.500 0.500 0.500
Ho 0.500 0.000 0.000
Ho 0.000 0.500 0.000
Ho 0.000 0.000 0.500
Pd 0.000 0.000 0.000

## Properties
space group: Pm-3m (221)
formation energy: -0.158 eV/atom
total magnetization: 0.0 μB/f.u.
excess energy over the best structure of this formula in the dataset: 0.114 eV per atom

=====

Sm2HoPd4 after structural relaxation, computed with PBE.

Cell lengths 5.151, 5.151, 8.086 Å; angles 101.87, 101.87, 110.74 degrees
Positions (direct):
Ho 0.000 0.000 0.000
Sm 0.634 0.634 0.268
Sm 0.366 0.366 0.732
Pd 0.500 0.000 0.000
Pd 0.820 0.820 0.639
Pd 0.180 0.180 0.361
Pd 0.000 0.500 0.000

## Properties
space group: Fmmm (69)
formation energy: -0.299 eV/atom
total magnetization: 0.0 μB/f.u.

=====

SmHoPd2 after structural relaxation, computed with PBE.

Cell lengths 3.457, 5.059, 5.059 Å; angles 90.00, 90.00, 90.00 degrees
Positions (direct):
Pd 0.000 0.000 0.500
Pd 0.000 0.500 0.000
Sm 0.500 0.000 0.000
Ho 0.500 0.500 0.500

## Properties
space group: P4/mmm (123)
formation energy: -0.841 eV/atom
total magnetization: 0.0 μB/f.u.
excess energy over the best structure of this formula in the dataset: 0.044 eV per atom

=====

Sm2Ho3Pd3 after structural relaxation, computed with PBE.

Cell lengths 3.540, 5.163, 11.086 Å; angles 103.47, 99.19, 90.00 degrees
Positions (direct):
Pd 0.889 0.889 0.778
Pd 0.111 0.111 0.222
Pd 0.000 0.500 0.000
Ho 0.500 0.000 0.000
Ho 0.614 0.614 0.227
Ho 0.386 0.386 0.773
Sm 0.274 0.774 0.549
Sm 0.726 0.226 0.451

## Properties
space group: Immm (71)
formation energy: -0.614 eV/atom
total magnetization: 0.0 μB/f.u.

=====

SmHo2Pd after structural relaxation, computed with PBE.

Cell lengths 6.504, 7.069, 9.682 Å; angles 90.00, 90.00, 90.00 degrees
Positions (direct):
Pd 0.570 0.112 0.750
Pd 0.930 0.612 0.750
Pd 0.430 0.888 0.250
Pd 0.070 0.388 0.250
Ho 0.327 0.179 0.060
Ho 0.327 0.179 0.440
Ho 0.173 0.679 0.060
Ho 0.673 0.821 0.560
Ho 0.173 0.679 0.440
Ho 0.827 0.321 0.560
Ho 0.827 0.321 0.940
Ho 0.673 0.821 0.940
Sm 0.133 0.981 0.750
Sm 0.867 0.019 0.250
Sm 0.367 0.481 0.750
Sm 0.633 0.519 0.250

## Properties
space group: Pnma (62)
formation energy: -0.466 eV/atom
total magnetization: 0.0 μB/f.u.
excess energy over the best structure of this formula in the dataset: 0.000 eV per atom

=====

SmHo3Pd3 after structural relaxation, computed with PBE.

Cell lengths 6.982, 6.982, 7.100 Å; angles 91.13, 91.13, 97.27 degrees
Positions (direct):
Ho 0.654 0.654 0.366
Ho 0.822 0.178 0.500
Ho 0.178 0.822 0.500
Ho 0.247 0.753 0.000
Ho 0.346 0.346 0.634
Ho 0.753 0.247 0.000
Pd 0.062 0.062 0.804
Pd 0.994 0.493 0.723
Pd 0.493 0.994 0.723
Pd 0.507 0.006 0.277
Pd 0.006 0.507 0.277
Pd 0.938 0.938 0.196
Sm 0.734 0.734 0.877
Sm 0.266 0.266 0.123

## Properties
space group: C2/m (12)
formation energy: -0.686 eV/atom
total magnetization: 0.0 μB/f.u.

=====

SmHo3Pd2 after structural relaxation, computed with PBE.

Cell lengths 3.789, 8.553, 9.672 Å; angles 90.00, 90.00, 90.00 degrees
Positions (direct):
Ho 0.500 0.666 0.211
Ho 0.000 0.833 0.716
Ho 0.000 0.490 0.933
Ho 0.000 0.333 0.284
Ho 0.500 0.166 0.789
Ho 0.000 0.990 0.067
Pd 0.000 0.735 0.419
Pd 0.500 0.764 0.924
Pd 0.000 0.235 0.581
Pd 0.500 0.264 0.076
Sm 0.500 0.012 0.430
Sm 0.500 0.512 0.570

## Properties
space group: Pmc2_1 (26)
formation energy: -0.587 eV/atom
total magnetization: 0.0 μB/f.u.

=====

Sm2HoPd after structural relaxation, computed with PBE.

Cell lengths 3.720, 3.720, 10.071 Å; angles 79.36, 79.36, 60.00 degrees
Positions (direct):
Sm 0.266 0.266 0.201
Sm 0.734 0.734 0.799
Ho 0.500 0.500 0.500
Pd 0.000 0.000 0.000

## Properties
space group: R-3m (166)
formation energy: -0.259 eV/atom
total magnetization: 0.0 μB/f.u.
excess energy over the best structure of this formula in the dataset: 0.162 eV per atom

=====

SmHo2Pd after structural relaxation, computed with PBE.

Cell lengths 3.675, 3.675, 9.997 Å; angles 79.41, 79.41, 60.00 degrees
Positions (direct):
Ho 0.732 0.732 0.805
Ho 0.268 0.268 0.195
Pd 0.000 0.000 0.000
Sm 0.500 0.500 0.500

## Properties
space group: R-3m (166)
formation energy: -0.304 eV/atom
total magnetization: 0.0 μB/f.u.
excess energy over the best structure of this formula in the dataset: 0.162 eV per atom

=====

Sm2HoPd after structural relaxation, computed with PBE.

Cell lengths 3.655, 3.655, 8.401 Å; angles 90.00, 90.00, 90.00 degrees
Positions (direct):
Sm 0.000 0.000 0.203
Sm 0.000 0.000 0.797
Pd 0.500 0.500 0.000
Ho 0.500 0.500 0.500

## Properties
space group: P4/mmm (123)
formation energy: -0.347 eV/atom
total magnetization: 0.0 μB/f.u.
excess energy over the best structure of this formula in the dataset: 0.074 eV per atom

=====

SmHo6Pd3 after structural relaxation, computed with PBE.

Cell lengths 7.221, 8.686, 8.686 Å; angles 98.40, 90.00, 90.00 degrees
Positions (direct):
Pd 0.377 0.425 0.575
Pd 0.954 0.086 0.292
Pd 0.454 0.292 0.086
Pd 0.454 0.914 0.708
Pd 0.877 0.575 0.425
Pd 0.954 0.708 0.914
Ho 0.321 0.035 0.419
Ho 0.168 0.709 0.630
Ho 0.321 0.581 0.965
Ho 0.019 0.769 0.231
Ho 0.519 0.231 0.769
Ho 0.663 0.968 0.032
Ho 0.821 0.965 0.581
Ho 0.668 0.291 0.370
Ho 0.163 0.032 0.968
Ho 0.168 0.370 0.291
Ho 0.668 0.630 0.709
Ho 0.821 0.419 0.035
Sm 0.040 0.315 0.685
Sm 0.540 0.685 0.315

## Properties
space group: Cmc2_1 (36)
formation energy: -0.508 eV/atom
total magnetization: 0.0 μB/f.u.

=====

SmHo3Pd12 after structural relaxation, computed with PBE.

Cell lengths 4.121, 4.121, 16.570 Å; angles 90.00, 90.00, 90.00 degrees
Positions (direct):
Pd 0.000 0.500 0.624
Pd 0.500 0.500 0.500
Pd 0.500 0.000 0.872
Pd 0.500 0.500 0.000
Pd 0.500 0.500 0.252
Pd 0.000 0.500 0.376
Pd 0.500 0.500 0.748
Pd 0.500 0.000 0.624
Pd 0.000 0.500 0.128
Pd 0.000 0.500 0.872
Pd 0.500 0.000 0.128
Pd 0.500 0.000 0.376
Ho 0.000 0.000 0.748
Ho 0.000 0.000 0.500
Ho 0.000 0.000 0.252
Sm 0.000 0.000 0.000

## Properties
space group: P4/mmm (123)
formation energy: -0.868 eV/atom
total magnetization: 0.0 μB/f.u.

=====

Sm2HoPd after structural relaxation, computed with PBE.

Cell lengths 3.833, 6.361, 9.688 Å; angles 90.00, 90.00, 107.51 degrees
Positions (direct):
Sm 0.365 0.730 0.940
Sm 0.635 0.270 0.440
Sm 0.365 0.730 0.560
Sm 0.635 0.270 0.060
Ho 0.929 0.858 0.250
Ho 0.071 0.142 0.750
Pd 0.763 0.525 0.750
Pd 0.237 0.475 0.250

## Properties
space group: Cmcm (63)
formation energy: -0.420 eV/atom
total magnetization: 0.0 μB/f.u.
excess energy over the best structure of this formula in the dataset: 0.000 eV per atom

=====

Sm3Ho2Pd2 after structural relaxation, computed with PBE.

Cell lengths 3.783, 6.473, 9.091 Å; angles 113.90, 90.00, 106.99 degrees
Positions (direct):
Ho 0.840 0.681 0.187
Ho 0.160 0.319 0.813
Sm 0.614 0.228 0.440
Sm 0.386 0.772 0.560
Sm 0.500 0.000 0.000
Pd 0.827 0.654 0.773
Pd 0.173 0.346 0.227

## Properties
space group: C2/m (12)
formation energy: -0.478 eV/atom
total magnetization: 0.0 μB/f.u.

=====

SmHo2Pd after structural relaxation, computed with PBE.

Cell lengths 3.759, 6.530, 9.284 Å; angles 90.00, 90.00, 106.78 degrees
Positions (direct):
Pd 0.238 0.475 0.250
Pd 0.762 0.525 0.750
Sm 0.061 0.120 0.750
Sm 0.939 0.880 0.250
Ho 0.363 0.727 0.940
Ho 0.637 0.273 0.060
Ho 0.637 0.273 0.440
Ho 0.363 0.727 0.560

## Properties
space group: P2_1/m (11)
formation energy: -0.449 eV/atom
total magnetization: 0.0 μB/f.u.
excess energy over the best structure of this formula in the dataset: 0.016 eV per atom

=====

SmHoTlPd after structural relaxation, computed with PBE.

Cell lengths 5.219, 5.219, 5.219 Å; angles 60.00, 60.00, 60.00 degrees
Positions (direct):
Tl 0.000 0.000 0.000
Ho 0.250 0.250 0.250
Pd 0.500 0.500 0.500
Sm 0.750 0.750 0.750

## Properties
space group: F-43m (216)
formation energy: -0.523 eV/atom
total magnetization: 0.0 μB/f.u.

=====

SmHoZnPd after structural relaxation, computed with PBE.

Cell lengths 5.047, 5.047, 5.047 Å; angles 60.00, 60.00, 60.00 degrees
Positions (direct):
Sm 0.750 0.750 0.750
Zn 0.000 0.000 0.000
Pd 0.500 0.500 0.500
Ho 0.250 0.250 0.250

## Properties
space group: F-43m (216)
formation energy: -0.573 eV/atom
total magnetization: 0.0 μB/f.u.
excess energy over the best structure of this formula in the dataset: 0.028 eV per atom

=====

SmHoZnPd after structural relaxation, computed with PBE.

Cell lengths 3.586, 3.586, 7.055 Å; angles 90.00, 90.00, 90.00 degrees
Positions (direct):
Ho 0.000 0.000 0.350
Sm 0.000 0.000 0.860
Pd 0.500 0.500 0.124
Zn 0.500 0.500 0.594

## Properties
space group: P4mm (99)
formation energy: -0.601 eV/atom
total magnetization: 0.0 μB/f.u.
excess energy over the best structure of this formula in the dataset: 0.000 eV per atom

=====

HoSnPd6 after structural relaxation, computed with PBE.

Cell lengths 4.093, 4.093, 8.094 Å; angles 90.00, 90.00, 90.00 degrees
Positions (direct):
Pd 0.500 0.000 0.257
Pd 0.500 0.000 0.743
Pd 0.000 0.500 0.743
Pd 0.500 0.500 0.500
Pd 0.500 0.500 0.000
Pd 0.000 0.500 0.257
Sn 0.000 0.000 0.500
Ho 0.000 0.000 0.000

## Properties
space group: P4/mmm (123)
formation energy: -0.702 eV/atom
total magnetization: 0.0 μB/f.u.
excess energy over the best structure of this formula in the dataset: 0.000 eV per atom

=====

Ho2Sn5Pd12 after structural relaxation, computed with PBE.

Cell lengths 8.294, 7.702, 6.774 Å; angles 89.61, 90.00, 122.58 degrees
Positions (direct):
Ho 0.773 0.000 0.000
Ho 0.227 0.000 0.000
Pd 0.128 0.255 0.192
Pd 0.872 0.745 0.808
Pd 0.910 0.426 0.175
Pd 0.828 0.221 0.571
Pd 0.090 0.574 0.825
Pd 0.392 0.221 0.571
Pd 0.172 0.779 0.429
Pd 0.537 0.075 0.266
Pd 0.484 0.574 0.825
Pd 0.463 0.925 0.734
Pd 0.516 0.426 0.175
Pd 0.608 0.779 0.429
Sn 0.336 0.673 0.123
Sn 0.664 0.327 0.877
Sn 0.235 0.470 0.544
Sn 0.000 0.000 0.500
Sn 0.765 0.530 0.456

## Properties
space group: C2/m (12)
formation energy: -0.500 eV/atom
total magnetization: 0.0 μB/f.u.

=====

HoSn4Pd7 after structural relaxation, computed with PBE.

Cell lengths 4.996, 8.635, 6.221 Å; angles 82.42, 66.33, 73.19 degrees
Positions (direct):
Pd 0.358 0.539 0.744
Pd 0.931 0.333 0.805
Pd 0.500 0.000 0.000
Pd 0.642 0.461 0.256
Pd 0.781 0.903 0.535
Pd 0.219 0.097 0.465
Pd 0.069 0.667 0.195
Sn 0.265 0.333 0.137
Sn 0.410 0.777 0.404
Sn 0.735 0.667 0.863
Sn 0.590 0.223 0.596
Ho 0.000 0.000 0.000

## Properties
space group: C2/m (12)
formation energy: -0.486 eV/atom
total magnetization: 0.0 μB/f.u.